(1)
The following is a DFT calculation (PBE-GGA) of a relaxed structure of PrLuNi.

Unit cell a=6.7792 b=6.7792 c=6.7792 alpha=90.00 beta=90.00 gamma=90.00
With the nearest neighbours (Å) after each atom.
Space group F-43m (No. 216)
Asymmetric unit:
Pr 0.0000 0.0000 0.0000 x4  4 Ni 2.94
Lu 0.0000 0.0000 0.5000 x4  4 Ni 2.94
Ni 0.2500 0.2500 0.2500 x4  4 Lu 2.94, 4 Pr 2.94

Output
For the energy relative to the elements, the calculation gives -0.38 eV/f.u. The value obtained for the final energy is -5.15 eV per atom. The energy above the most stable polymorph in this dataset is 83.4 meV/atom.

(2)
The following is a DFT calculation (PBE-GGA) of a relaxed structure of Na2Li3Au3.

Unit cell a=7.8716 b=7.8716 c=2.9702 alpha=90.00 beta=90.00 gamma=120.00
With the nearest neighbours (Å) after each atom.
Space group P-62m (No. 189)
Asymmetric unit:
Na 0.3333 0.6667 0.0000 x2  2 Na 2.97, 6 Au 3.05, 3 Li 3.16
Li 0.0000 0.2212 0.0000 x3  4 Au 2.69, 4 Li 2.97-3.02
Au 0.0000 0.6779 0.5000 x3  4 Li 2.69, 2 Au 2.97

Output
For the energy relative to the elements, the calculation gives -2.86 eV/f.u. The value obtained for the final energy is -2.63 eV per atom.

(3)
The following is a DFT calculation (PBE-GGA) of a relaxed structure of LaZn2Ag9.

Unit cell a=11.3041 b=11.3041 c=7.2686 alpha=90.00 beta=90.00 gamma=90.00
With the nearest neighbours (Å) after each atom.
Space group I4_1/amd (No. 141, origin choice 2)
Asymmetric unit:
La 0.0000 0.2500 0.3750 x4  18 Ag 3.47-3.67
Zn 0.0000 0.0000 0.0000 x8  10 Ag 2.74-2.97
Ag 0.0000 0.2500 0.8750 x4  4 Zn 2.97, 8 Ag 3.01
Ag 0.1219 0.0484 0.6820 x32  2 Zn 2.74-2.75, 7 Ag 2.76-3.06

Output
For the energy relative to the elements, the calculation gives -1.15 eV/f.u. The value obtained for the final energy is -2.86 eV per atom.

(4)
The following is a DFT calculation (PBE-GGA) of a relaxed structure of Zr2TiCo.

Unit cell a=6.6054 b=6.6054 c=6.6054 alpha=90.00 beta=90.00 gamma=90.00
With the nearest neighbours (Å) after each atom.
Space group Fm-3m (No. 225)
Asymmetric unit:
Zr 0.2500 0.2500 0.2500 x8  4 Co 2.86, 4 Ti 2.86
Ti 0.0000 0.0000 0.0000 x4  8 Zr 2.86
Co 0.0000 0.0000 0.5000 x4  8 Zr 2.86

Output
For the energy relative to the elements, the calculation gives 0.06 eV/f.u. The value obtained for the final energy is -8.01 eV per atom. The energy above the most stable polymorph in this dataset is 136.6 meV/atom.

(5)
The following is a DFT calculation (PBE-GGA) of a relaxed structure of VCdMo.

Unit cell a=5.5603 b=7.9398 c=10.0270 alpha=90.00 beta=90.00 gamma=90.00
With the nearest neighbours (Å) after each atom.
Space group Fmmm (No. 69)
Asymmetric unit:
V 0.0000 0.0000 0.1816 x8  4 Mo 2.52
Cd 0.0000 0.1850 0.5000 x8  4 Mo 2.91, 3 Cd 2.94-2.97, 2 V 3.09
Mo 0.2500 0.2500 0.2500 x8  4 V 2.52, 2 Mo 2.78

Output
For the energy relative to the elements, the calculation gives 1.73 eV/f.u. The value obtained for the final energy is -6.38 eV per atom.

(6)
The following is a DFT calculation (PBE-GGA) of a relaxed structure of GdHgBi2.

Unit cell a=4.5893 b=4.5893 c=27.4590 alpha=90.00 beta=90.00 gamma=120.00
With the nearest neighbours (Å) after each atom.
Space group R-3m (No. 166, hexagonal axes)
Asymmetric unit:
Gd 0.0000 0.0000 0.0000 x3  6 Bi 3.18
Hg 0.0000 0.0000 0.5000 x3  2 Bi 2.82
Bi 0.0000 0.0000 0.3973 x6  1 Hg 2.82

Output
For the energy relative to the elements, the calculation gives -0.37 eV/f.u. The value obtained for the final energy is -5.63 eV per atom. The energy above the most stable polymorph in this dataset is 336.4 meV/atom.

(7)
The following is a DFT calculation (PBE-GGA) of a relaxed structure of Pr5NdDyTm2.

Unit cell a=5.6768 b=20.5466 c=10.8205 alpha=90.00 beta=90.00 gamma=90.00
With the nearest neighbours (Å) after each atom.
Space group Cmc2_1 (No. 36)
Asymmetric unit:
Pr 0.0000 0.0153 0.0000 x4  2 Dy 3.30, 3 Tm 3.51-3.60
Pr 0.0000 0.2811 0.2893 x4  1 Dy 3.10, 1 Tm 3.39, 2 Pr 3.44
Pr 0.0000 0.2952 0.6820 x4  3 Pr 3.44-3.84, 3 Nd 3.53-3.85, 1 Dy 3.53, 3 Tm 3.58-3.82
Pr 0.0000 0.3886 0.0038 x4  6 Pr 3.58-3.98, 4 Tm 3.65-3.68, 1 Nd 3.87
Pr 0.0000 0.4809 0.7230 x4  2 Dy 3.24-3.41, 2 Tm 3.55, 2 Pr 3.58
Nd 0.0000 0.2004 0.9890 x4  2 Tm 3.45-3.71, 7 Pr 3.53-3.85, 2 Dy 3.67
Dy 0.0000 0.4096 0.4389 x4  5 Pr 3.10-3.41
Tm 0.0000 0.1102 0.7205 x4  1 Nd 3.45, 7 Pr 3.51-3.82, 2 Dy 3.72
Tm 0.0000 0.1160 0.2918 x4  9 Pr 3.39-3.77, 1 Nd 3.71

Output
For the energy relative to the elements, the calculation gives 1.31 eV/f.u. The value obtained for the final energy is -4.54 eV per atom.

(8)
The following is a DFT calculation (PBE-GGA) of a relaxed structure of K2RbSr.

Unit cell a=4.5207 b=4.5207 c=16.0454 alpha=90.00 beta=90.00 gamma=120.00
With the nearest neighbours (Å) after each atom.
Space group P3m1 (No. 156)
Asymmetric unit:
K 0.0000 0.0000 0.0000 x1  3 Sr 4.50, 6 K 4.52, 3 Rb 4.86
K 0.3333 0.6667 0.5103 x1  1 Sr 4.20, 6 K 4.52
Rb 0.6667 0.3333 0.2558 x1  6 Rb 4.52, 6 K 4.85-4.86
Sr 0.3333 0.6667 0.7718 x1  4 K 4.20-4.50, 6 Sr 4.52

Output
For the energy relative to the elements, the calculation gives 0.39 eV/f.u. The value obtained for the final energy is -1.11 eV per atom. The energy above the most stable polymorph in this dataset is 30.3 meV/atom.

(9)
The following is a DFT calculation (PBE-GGA) of a relaxed structure of CaHoAgPd.

Unit cell a=7.1403 b=7.1403 c=7.1403 alpha=90.00 beta=90.00 gamma=90.00
With the nearest neighbours (Å) after each atom.
Space group F-43m (No. 216)
Asymmetric unit:
Ca 0.0000 0.0000 0.0000 x4  4 Ag 3.09, 4 Pd 3.09
Ho 0.0000 0.0000 0.5000 x4  4 Pd 3.09, 4 Ag 3.09
Ag 0.2500 0.2500 0.7500 x4  4 Ho 3.09, 4 Ca 3.09
Pd 0.2500 0.2500 0.2500 x4  4 Ho 3.09, 4 Ca 3.09

Output
For the energy relative to the elements, the calculation gives -2.13 eV/f.u. The value obtained for the final energy is -4.19 eV per atom.

(10)
The following is a DFT calculation (PBE-GGA) of a relaxed structure of NaSeIN2.

Unit cell a=4.1305 b=4.1305 c=5.6284 alpha=90.00 beta=90.00 gamma=90.00
With the nearest neighbours (Å) after each atom.
Space group P4/mmm (No. 123)
Asymmetric unit:
Na 0.0000 0.0000 0.0000 x1  4 Se 2.92
Se 0.5000 0.5000 0.0000 x1  2 I 2.81, 4 Na 2.92
I 0.5000 0.5000 0.5000 x1  4 N 2.07
N 0.0000 0.5000 0.5000 x2  2 I 2.07

Output
The value obtained for the final energy is -3.22 eV per atom. The calculation puts the formation energy without anion corrections at 1.3776 eV/atom. The energy above the most stable polymorph in this dataset is 298.3 meV/atom.

(11)
The following is a DFT calculation (PBE-GGA) of a relaxed structure of LaMg2PaN4.

Unit cell a=5.7088 b=3.5063 c=6.2726 alpha=90.00 beta=113.13 gamma=90.00
With the nearest neighbours (Å) after each atom.
Space group P2/m (No. 10)
Asymmetric unit:
La 0.0000 0.0000 0.0000 x1  6 N 2.50-2.55
Mg 0.5000 0.0000 0.5000 x1  6 N 2.36-2.46
Mg 0.5000 0.5000 0.0000 x1  4 N 2.44
Pa 0.0000 0.5000 0.5000 x1  6 N 2.23-2.39
N 0.2351 0.5000 0.2877 x2  1 Pa 2.23, 2 Mg 2.36, 2 La 2.50
N 0.2492 0.0000 0.7410 x2  2 Pa 2.39, 3 Mg 2.44-2.46, 1 La 2.55

Output
The value obtained for the final energy is -7.50 eV per atom. The calculation puts the formation energy without anion corrections at -1.1324 eV/atom.

(12)
The following is a DFT calculation (PBE-GGA) of a relaxed structure of Cd5InHg8.

Unit cell a=8.9387 b=8.9387 c=8.9645 alpha=90.00 beta=90.00 gamma=90.00
With the nearest neighbours (Å) after each atom.
Space group I-4 (No. 82)
Asymmetric unit:
Cd 0.0000 0.0000 0.0000 x2  8 Hg 3.07-3.10
Cd 0.1287 0.2476 0.6193 x8  8 Hg 3.05-3.14
In 0.0000 0.5000 0.2500 x2  8 Hg 3.09-3.19
Hg 0.0793 0.3305 0.9475 x8  5 Cd 3.05-3.14, 1 In 3.19, 2 Hg 3.34-3.35
Hg 0.0812 0.1663 0.2926 x8  5 Cd 3.05-3.13, 1 In 3.09, 2 Hg 3.31-3.34

Output
For the energy relative to the elements, the calculation gives 0.34 eV/f.u. The value obtained for the final energy is -0.67 eV per atom. The energy above the most stable polymorph in this dataset is 0.0 meV/atom.

(13)
The following is a DFT calculation (PBE-GGA) of a relaxed structure of USBrF.

Unit cell a=4.0325 b=4.0325 c=21.8386 alpha=90.00 beta=90.00 gamma=120.00
With the nearest neighbours (Å) after each atom.
Space group R3m (No. 160, hexagonal axes)
Asymmetric unit:
U 0.0000 0.0000 0.0000 x3  3 F 2.35
S 0.0000 0.0000 0.5981 x3  3 U 2.77, 3 F 2.96
Br 0.0000 0.0000 0.7647 x3  3 F 2.95, 3 U 3.16
F 0.0000 0.0000 0.3483 x3  3 U 2.35

Output
The value obtained for the final energy is -6.69 eV per atom. The calculation puts the formation energy without anion corrections at -1.9512 eV/atom.

(14)
The following is a DFT calculation (PBE-GGA) of a relaxed structure of NaPuH2.

Unit cell a=3.2735 b=3.2735 c=18.5684 alpha=90.00 beta=90.00 gamma=120.00
With the nearest neighbours (Å) after each atom.
Space group R-3m (No. 166, hexagonal axes)
Asymmetric unit:
Na 0.0000 0.0000 0.0000 x3  6 H 2.45
Pu 0.0000 0.0000 0.5000 x3  6 H 2.43
H 0.0000 0.0000 0.2491 x6  3 Pu 2.43, 3 Na 2.45

Output
The value obtained for the final energy is -5.71 eV per atom. The energy above the most stable polymorph in this dataset is 0.0 meV/atom.

(15)
The following is a DFT calculation (PBE-GGA) of a relaxed structure of La2ZrHgH.

Unit cell a=5.2768 b=5.2768 c=4.2495 alpha=90.00 beta=90.00 gamma=90.00
With the nearest neighbours (Å) after each atom.
Space group P4/mmm (No. 123)
Asymmetric unit:
La 0.0000 0.5000 0.0000 x2  2 H 2.64
Zr 0.0000 0.0000 0.5000 x1  2 H 2.12
Hg 0.5000 0.5000 0.5000 x1  8 La 3.39, 4 Zr 3.73
H 0.0000 0.0000 0.0000 x1  2 Zr 2.12

Output
The value obtained for the final energy is -4.59 eV per atom.

(16)
The following is a DFT calculation (PBE-GGA) of a relaxed structure of La2AsP.

Unit cell a=7.2267 b=7.2267 c=7.2267 alpha=90.00 beta=90.00 gamma=90.00
With the nearest neighbours (Å) after each atom.
Space group F-43m (No. 216)
Asymmetric unit:
La 0.0000 0.0000 0.0000 x4  4 As 3.13, 4 La 3.13
La 0.2500 0.2500 0.2500 x4  4 La 3.13, 4 P 3.13
As 0.2500 0.2500 0.7500 x4  4 La 3.13, 4 P 3.13
P 0.0000 0.0000 0.5000 x4  4 As 3.13, 4 La 3.13

Output
For the energy relative to the elements, the calculation gives -1.76 eV/f.u. The value obtained for the final energy is -5.42 eV per atom. The energy above the most stable polymorph in this dataset is 1134.7 meV/atom.

(17)
The following is a DFT calculation (PBE-GGA) of a relaxed structure of Er3Mg2Cd7.

Unit cell a=5.1491 b=4.6935 c=12.3541 alpha=90.00 beta=90.11 gamma=90.00
With the nearest neighbours (Å) after each atom.
Space group P2/m (No. 10)
Asymmetric unit:
Er 0.0000 0.0000 0.0000 x1  8 Cd 3.07-3.22
Er 0.4979 0.5000 0.6711 x2  8 Cd 3.18-3.42, 4 Mg 3.51-3.52
Mg 0.0030 0.0000 0.2890 x2  6 Cd 2.83-3.06
Cd 0.0009 0.5000 0.1605 x2  2 Mg 2.83, 2 Er 3.07
Cd 0.2503 0.0000 0.5009 x2  2 Cd 2.57-2.58
Cd 0.4985 0.0000 0.8446 x2  2 Cd 3.03, 2 Mg 3.05-3.06, 4 Er 3.18-3.22
Cd 0.5000 0.5000 0.0000 x1  8 Cd 3.03-3.25

Output
For the energy relative to the elements, the calculation gives -1.36 eV/f.u. The value obtained for the final energy is -2.05 eV per atom. The energy above the most stable polymorph in this dataset is 20.6 meV/atom.

(18)
The following is a DFT calculation (PBE-GGA) of a relaxed structure of NaCdPb3.

Unit cell a=3.5907 b=4.7965 c=8.8447 alpha=76.68 beta=80.64 gamma=89.44
With the nearest neighbours (Å) after each atom.
Space group P1 (No. 1)
Asymmetric unit:
Na 0.0000 0.0000 0.0000 x1  1 Cd 3.32, 9 Pb 3.41-3.60, 2 Na 3.59
Cd 0.2109 0.2002 0.6106 x1  8 Pb 3.23-3.53, 1 Na 3.32, 2 Cd 3.59
Pb 0.4000 0.3930 0.2153 x1  1 Cd 3.36, 7 Pb 3.39-3.60, 4 Na 3.44-3.60
Pb 0.5992 0.6030 0.7914 x1  4 Cd 3.23-3.53, 4 Pb 3.30-3.60, 4 Na 3.41-3.57
Pb 0.8228 0.8117 0.4043 x1  7 Pb 3.30-3.59, 4 Cd 3.34-3.62, 1 Na 3.43

Output
For the energy relative to the elements, the calculation gives -0.23 eV/f.u. The value obtained for the final energy is -2.72 eV per atom. The energy above the most stable polymorph in this dataset is 0.0 meV/atom.

(19)
The following is a DFT calculation (PBE-GGA) of a relaxed structure of TmInSnI6.

Unit cell a=7.9794 b=7.9794 c=15.0931 alpha=90.00 beta=90.00 gamma=120.00
With the nearest neighbours (Å) after each atom.
Space group P-31c (No. 163)
Asymmetric unit:
Tm 0.3333 0.6667 0.2500 x2  6 I 3.01
In 0.0000 0.0000 0.0000 x2  6 I 3.52
Sn 0.3333 0.6667 0.7500 x2  6 I 3.20
I 0.0177 0.3701 0.1333 x12  1 Tm 3.01, 1 Sn 3.20

Output
The value obtained for the final energy is -3.16 eV per atom. The calculation puts the formation energy without anion corrections at -0.8788 eV/atom.

(20)
The following is a DFT calculation (PBE-GGA) of a relaxed structure of SrBeSb2.

Unit cell a=7.5485 b=7.5485 c=7.5485 alpha=90.00 beta=90.00 gamma=90.00
With the nearest neighbours (Å) after each atom.
Space group F-43m (No. 216)
Asymmetric unit:
Sr 0.0000 0.0000 0.0000 x4  4 Sb 3.27, 4 Be 3.27
Be 0.2500 0.2500 0.7500 x4  4 Sb 3.27, 4 Sr 3.27
Sb 0.0000 0.0000 0.5000 x4  4 Sb 3.27, 4 Be 3.27
Sb 0.2500 0.2500 0.2500 x4  4 Sb 3.27, 4 Sr 3.27

Output
The value obtained for the final energy is -3.17 eV per atom. The calculation puts the formation energy without anion corrections at 0.2393 eV/atom.

(21)
The following is a DFT calculation (PBE-GGA) of a relaxed structure of AcAs2Pd4.

Unit cell a=8.0029 b=8.0029 c=4.1123 alpha=90.00 beta=90.00 gamma=90.00
With the nearest neighbours (Å) after each atom.
Space group P4_2/mnm (No. 136)
Asymmetric unit:
Ac 0.0000 0.0000 0.0000 x2  6 As 3.17-3.22, 12 Pd 3.48-3.53
As 0.2195 0.2195 0.5000 x4  6 Pd 2.60-2.70
Pd 0.0935 0.6543 0.5000 x8  3 As 2.60-2.70, 6 Pd 2.85-2.90

Output
For the energy relative to the elements, the calculation gives -5.22 eV/f.u. The value obtained for the final energy is -5.63 eV per atom.

(22)
The following is a DFT calculation (PBE-GGA) of a relaxed structure of KNaZn2Cl6.

Unit cell a=13.1647 b=13.1878 c=6.7714 alpha=90.00 beta=99.03 gamma=90.00
With the nearest neighbours (Å) after each atom.
Space group C2/c (No. 15)
Asymmetric unit:
K 0.0000 0.1010 0.2500 x4  6 Cl 3.10-3.19
Na 0.0000 0.2933 0.7500 x4  4 Cl 2.72-3.04
Zn 0.2025 0.4163 0.2740 x8  4 Cl 2.24-2.37
Cl 0.1203 0.2837 0.1150 x8  1 Zn 2.24
Cl 0.1243 0.0998 0.6813 x8  1 Zn 2.26
Cl 0.1499 0.4353 0.5913 x8  2 Zn 2.36-2.37

Output
The value obtained for the final energy is -3.05 eV per atom. The calculation puts the formation energy without anion corrections at -1.4442 eV/atom.

(23)
The following is a DFT calculation (PBE-GGA) of a relaxed structure of CoHIrBr.

Unit cell a=15.2090 b=2.6746 c=3.4215 alpha=90.00 beta=90.04 gamma=90.00
With the nearest neighbours (Å) after each atom.
Space group Cm (No. 8)
Asymmetric unit:
Co 0.0000 0.0000 0.0000 x2  1 Br 2.40, 4 Ir 2.50, 2 Co 2.67
H 0.3418 0.5000 0.4983 x2  2 Ir 1.78
Ir 0.4191 0.0000 0.4997 x2  2 H 1.78
Br 0.1580 0.0000 0.0022 x2  1 Co 2.40, 2 Br 2.67

Output
The value obtained for the final energy is -4.89 eV per atom. The energy above the most stable polymorph in this dataset is 11.0 meV/atom.